Density functional theory data (PBE-GGA) for CaTe3H after structural relaxation.

Summary:
The calculation puts the calculated total energy at -12.3 eV per cell. The value obtained for the polymorph energy (0 for the lowest one) is 53.4 kJ per mole of atoms. The space-group type is Pm-3m (221).

a b c (Å): 5.8913 5.8913 5.8913
angles (deg): 90.00 90.00 90.00
Positions (direct):
Ca: 0.0000 0.0000 0.0000
Te: 0.0000 0.0000 0.5000
Te: 0.0000 0.5000 0.0000
Te: 0.5000 0.0000 0.0000
H: 0.5000 0.5000 0.5000



Density functional theory data (PBE-GGA) for CaTeH after structural relaxation.

Summary:
The calculation puts the calculated total energy at -10.6 eV per cell. The space-group type is C2/m (12).

a b c (Å): 4.5708 4.5708 4.5041
angles (deg): 119.22 119.22 88.87
Positions (direct):
Ca: 0.0000 0.0000 0.0000
Te: 0.5000 0.5000 0.0000
H: 0.0000 0.0000 0.5000



Density functional theory data (PBE-GGA) for CaTlTeH2 after structural relaxation.

Summary:
The calculation puts the calculated total energy at -15.1 eV per cell. The space-group type is P4/mmm (123).

a b c (Å): 4.3816 4.3816 6.4821
angles (deg): 90.00 90.00 90.00
Positions (direct):
Ca: 0.0000 0.0000 0.0000
Tl: 0.5000 0.5000 0.5000
Te: 0.0000 0.0000 0.5000
H: 0.0000 0.5000 0.0000
H: 0.5000 0.0000 0.0000



Density functional theory data (PBE-GGA) for CaYTe2H after structural relaxation.

Summary:
The calculation puts the calculated total energy at -21.8 eV per cell. The space-group type is P4/mmm (123).

a b c (Å): 5.4908 5.4908 3.9124
angles (deg): 90.00 90.00 90.00
Positions (direct):
Ca: 0.0000 0.0000 0.0000
Y: 0.5000 0.5000 0.0000
Te: 0.0000 0.5000 0.5000
Te: 0.5000 0.0000 0.5000
H: 0.0000 0.0000 0.5000



Density functional theory data (PBE-GGA) for Ca2ThH8 after structural relaxation.

Summary:
The calculation puts the calculated total energy at -44.4 eV per cell. The space-group type is Immm (71).

a b c (Å): 6.5561 6.5561 6.5561
angles (deg): 147.72 129.32 61.37
Positions (direct):
Ca: 0.1793 0.1793 0.0000
Ca: 0.8207 0.8207 0.0000
Th: 0.5000 0.5000 0.0000
H: 0.0804 0.3440 0.7365
H: 0.2252 0.0000 0.2252
H: 0.3600 0.8600 0.5000
H: 0.3925 0.6560 0.7365
H: 0.6075 0.3440 0.2635
H: 0.6400 0.1400 0.5000
H: 0.7748 0.0000 0.7748
H: 0.9196 0.6560 0.2635



Density functional theory data (PBE-GGA) for Ca2ThH after structural relaxation.

Summary:
The calculation puts the calculated total energy at -14.3 eV per cell. The space-group type is R-3m (166).

a b c (Å): 10.1366 10.1366 10.1366
angles (deg): 19.99 19.99 19.99
Positions (direct):
Ca: 0.1166 0.1166 0.1166
Ca: 0.8834 0.8834 0.8834
Th: 0.0000 0.0000 0.0000
H: 0.5000 0.5000 0.5000



Density functional theory data (PBE-GGA) for Ca3ThH8 after structural relaxation.

Summary:
The calculation puts the calculated total energy at -46.9 eV per cell. The space-group type is Pm-3m (221).

a b c (Å): 5.3916 5.3916 5.3916
angles (deg): 90.00 90.00 90.00
Positions (direct):
Ca: 0.0000 0.0000 0.5000
Ca: 0.0000 0.5000 0.0000
Ca: 0.5000 0.0000 0.0000
Th: 0.5000 0.5000 0.5000
H: 0.2512 0.2512 0.2512
H: 0.2512 0.2512 0.7488
H: 0.2512 0.7488 0.2512
H: 0.2512 0.7488 0.7488
H: 0.7488 0.2512 0.2512
H: 0.7488 0.2512 0.7488
H: 0.7488 0.7488 0.2512
H: 0.7488 0.7488 0.7488



Density functional theory data (PBE-GGA) for CaThH after structural relaxation.

Summary:
The calculation puts the calculated total energy at -13.0 eV per cell. The value obtained for the polymorph energy (0 for the lowest one) is 8.6 kJ per mole of atoms. The space-group type is P3m1 (156).

a b c (Å): 3.6073 3.6073 6.2479
angles (deg): 90.00 90.00 120.00
Positions (direct):
Ca: 0.0000 0.0000 0.0000
Th: 0.6667 0.3333 0.5131
H: 0.3333 0.6667 0.7395



Density functional theory data (PBE-GGA) for Ca3Th5H12 after structural relaxation.

Summary:
The calculation puts the calculated total energy at -357.7 eV per cell. The space-group type is Ia-3d (230).

a b c (Å): 11.7946 11.7946 11.7946
angles (deg): 109.47 109.47 109.47
Positions (direct):
Ca: 0.1250 0.2500 0.3750
Ca: 0.1250 0.3750 0.7500
Ca: 0.2500 0.3750 0.1250
Ca: 0.2500 0.8750 0.6250
Ca: 0.3750 0.1250 0.2500
Ca: 0.3750 0.7500 0.1250
Ca: 0.6250 0.2500 0.8750
Ca: 0.6250 0.8750 0.7500
Ca: 0.7500 0.1250 0.3750
Ca: 0.7500 0.6250 0.8750
Ca: 0.8750 0.6250 0.2500
Ca: 0.8750 0.7500 0.6250
Th: 0.0000 0.0000 0.0000
Th: 0.0000 0.0000 0.5000
Th: 0.0000 0.5000 0.0000
Th: 0.0000 0.5000 0.5000
Th: 0.1250 0.7500 0.8750
Th: 0.1250 0.8750 0.2500
Th: 0.2500 0.1250 0.8750
Th: 0.2500 0.6250 0.3750
Th: 0.3750 0.2500 0.6250
Th: 0.3750 0.6250 0.7500
Th: 0.5000 0.0000 0.0000
Th: 0.5000 0.0000 0.5000
Th: 0.5000 0.5000 0.0000
Th: 0.5000 0.5000 0.5000
Th: 0.6250 0.3750 0.2500
Th: 0.6250 0.7500 0.3750
Th: 0.7500 0.3750 0.6250
Th: 0.7500 0.8750 0.1250
Th: 0.8750 0.1250 0.7500
Th: 0.8750 0.2500 0.1250
H: 0.0618 0.7207 0.6567
H: 0.0618 0.8411 0.4050
H: 0.0639 0.2207 0.1589
H: 0.0639 0.3432 0.9050
H: 0.0950 0.6589 0.4382
H: 0.0950 0.9361 0.6567
H: 0.1568 0.2207 0.5618
H: 0.1568 0.4361 0.5950
H: 0.1589 0.0639 0.2207
H: 0.1589 0.5950 0.9382
H: 0.2207 0.1589 0.0639
H: 0.2207 0.5618 0.1568
H: 0.2793 0.3432 0.9382
H: 0.2793 0.4361 0.3411
H: 0.3411 0.2793 0.4361
H: 0.3411 0.5618 0.9050
H: 0.3432 0.9050 0.0639
H: 0.3432 0.9382 0.2793
H: 0.4050 0.0618 0.8411
H: 0.4050 0.8432 0.5639
H: 0.4361 0.3411 0.2793
H: 0.4361 0.5950 0.1568
H: 0.4382 0.0950 0.6589
H: 0.4382 0.8432 0.7793
H: 0.5618 0.1568 0.2207
H: 0.5618 0.9050 0.3411
H: 0.5639 0.4050 0.8432
H: 0.5639 0.6589 0.7207
H: 0.5950 0.1568 0.4361
H: 0.5950 0.9382 0.1589
H: 0.6567 0.0618 0.7207
H: 0.6567 0.0950 0.9361
H: 0.6589 0.4382 0.0950
H: 0.6589 0.7207 0.5639
H: 0.7207 0.5639 0.6589
H: 0.7207 0.6567 0.0618
H: 0.7793 0.4382 0.8432
H: 0.7793 0.8411 0.9361
H: 0.8411 0.4050 0.0618
H: 0.8411 0.9361 0.7793
H: 0.8432 0.5639 0.4050
H: 0.8432 0.7793 0.4382
H: 0.9050 0.0639 0.3432
H: 0.9050 0.3411 0.5618
H: 0.9361 0.6567 0.0950
H: 0.9361 0.7793 0.8411
H: 0.9382 0.1589 0.5950
H: 0.9382 0.2793 0.3432



Density functional theory data (PBE-GGA) for CaThH after structural relaxation.

Summary:
The calculation puts the calculated total energy at -26.5 eV per cell. The value obtained for the polymorph energy (0 for the lowest one) is 0.0 kJ per mole of atoms. The space-group type is P2_1/m (11).

a b c (Å): 5.8853 3.5518 6.9096
angles (deg): 90.00 91.87 90.00
Positions (direct):
Ca: 0.2377 0.2500 0.4138
Ca: 0.7623 0.7500 0.5862
Th: 0.2497 0.7500 0.9257
Th: 0.7503 0.2500 0.0743
H: 0.1505 0.7500 0.5996
H: 0.8495 0.2500 0.4004



Density functional theory data (PBE-GGA) for Ca2TiH after structural relaxation.

Summary:
The calculation puts the calculated total energy at -11.8 eV per cell. The value obtained for the polymorph energy (0 for the lowest one) is 48.4 kJ per mole of atoms. The space-group type is Fm-3m (225).

a b c (Å): 5.3165 5.3165 5.3165
angles (deg): 60.00 60.00 60.00
Positions (direct):
Ca: 0.2500 0.2500 0.2500
Ca: 0.7500 0.7500 0.7500
Ti: 0.0000 0.0000 0.0000
H: 0.5000 0.5000 0.5000



Density functional theory data (PBE-GGA) for CaTiH3 after structural relaxation.

Summary:
The calculation puts the calculated total energy at -21.6 eV per cell. The value obtained for the polymorph energy (0 for the lowest one) is 0.0 kJ per mole of atoms. The space-group type is Pm-3m (221).

a b c (Å): 3.7934 3.7934 3.7934
angles (deg): 90.00 90.00 90.00
Positions (direct):
Ca: 0.0000 0.0000 0.0000
Ti: 0.5000 0.5000 0.5000
H: 0.0000 0.5000 0.5000
H: 0.5000 0.0000 0.5000
H: 0.5000 0.5000 0.0000



Density functional theory data (PBE-GGA) for CaTiH3 after structural relaxation.

Summary:
The calculation puts the calculated total energy at -18.2 eV per cell. The value obtained for the polymorph energy (0 for the lowest one) is 64.4 kJ per mole of atoms. The space-group type is Pm-3m (221).

a b c (Å): 4.0081 4.0081 4.0081
angles (deg): 90.00 90.00 90.00
Positions (direct):
Ca: 0.0000 0.0000 0.0000
Ti: 0.5000 0.5000 0.5000
H: 0.0000 0.0000 0.5000
H: 0.0000 0.5000 0.0000
H: 0.5000 0.0000 0.0000



Density functional theory data (PBE-GGA) for Ca2TiH after structural relaxation.

Summary:
The calculation puts the calculated total energy at -27.7 eV per cell. The value obtained for the polymorph energy (0 for the lowest one) is 0.0 kJ per mole of atoms. The space-group type is I-42d (122).

a b c (Å): 6.3989 6.3989 6.3989
angles (deg): 114.52 114.52 99.78
Positions (direct):
Ca: 0.3750 0.2447 0.3697
Ca: 0.7553 0.1250 0.1303
Ca: 0.8750 0.0053 0.6303
Ca: 0.9947 0.6250 0.8697
Ti: 0.2500 0.7500 0.5000
Ti: 0.5000 0.5000 0.0000
H: 0.0000 0.0000 0.0000
H: 0.7500 0.2500 0.5000



Density functional theory data (PBE-GGA) for CaTiV2H after structural relaxation.

Summary:
The calculation puts the calculated total energy at -18.3 eV per cell. The space-group type is P4/mmm (123).

a b c (Å): 4.9615 4.9615 5.0869
angles (deg): 90.00 90.00 90.00
Positions (direct):
Ca: 0.0000 0.0000 0.0000
Ti: 0.0000 0.0000 0.5000
V: 0.0000 0.5000 0.0000
V: 0.5000 0.0000 0.0000
H: 0.5000 0.5000 0.5000



Density functional theory data (PBE-GGA) for CaTl2H2 after structural relaxation.

Summary:
The calculation puts the calculated total energy at -27.7 eV per cell. The value obtained for the polymorph energy (0 for the lowest one) is 0.0 kJ per mole of atoms. The space-group type is P4/mbm (127).

a b c (Å): 6.4772 6.4772 4.9915
angles (deg): 90.00 90.00 90.00
Positions (direct):
Ca: 0.0000 0.0000 0.0000
Ca: 0.5000 0.5000 0.0000
Tl: 0.1801 0.3199 0.5000
Tl: 0.3199 0.8199 0.5000
Tl: 0.6801 0.1801 0.5000
Tl: 0.8199 0.6801 0.5000
H: 0.2225 0.2775 0.0000
H: 0.2775 0.7775 0.0000
H: 0.7225 0.2225 0.0000
H: 0.7775 0.7225 0.0000



Density functional theory data (PBE-GGA) for Ca3TlH after structural relaxation.

Summary:
The calculation puts the calculated total energy at -13.4 eV per cell. The value obtained for the polymorph energy (0 for the lowest one) is 0.7 kJ per mole of atoms. The space-group type is Pm-3m (221).

a b c (Å): 4.9894 4.9894 4.9894
angles (deg): 90.00 90.00 90.00
Positions (direct):
Ca: 0.0000 0.0000 0.5000
Ca: 0.0000 0.5000 0.0000
Ca: 0.5000 0.0000 0.0000
Tl: 0.5000 0.5000 0.5000
H: 0.0000 0.0000 0.0000



Density functional theory data (PBE-GGA) for Ca7Tl2H2 after structural relaxation.

Summary:
The calculation puts the calculated total energy at -28.1 eV per cell. The space-group type is C2/m (12).

a b c (Å): 7.3392 7.3392 6.4252
angles (deg): 93.38 93.38 104.43
Positions (direct):
Ca: 0.0000 0.0000 0.0000
Ca: 0.1536 0.4894 0.2521
Ca: 0.3190 0.3190 0.7444
Ca: 0.4894 0.1536 0.2521
Ca: 0.5106 0.8464 0.7479
Ca: 0.6810 0.6810 0.2556
Ca: 0.8464 0.5106 0.7479
Tl: 0.1315 0.8685 0.5000
Tl: 0.8685 0.1315 0.5000
H: 0.2476 0.2476 0.0731
H: 0.7524 0.7524 0.9269



Density functional theory data (PBE-GGA) for Ca3TlH after structural relaxation.

Summary:
The calculation puts the calculated total energy at -52.2 eV per cell. The value obtained for the polymorph energy (0 for the lowest one) is 7.7 kJ per mole of atoms. The space-group type is P2_1/c (14).

a b c (Å): 9.3321 6.8861 10.3190
angles (deg): 90.00 123.55 90.00
Positions (direct):
Ca: 0.0165 0.0230 0.2585
Ca: 0.0165 0.4770 0.7585
Ca: 0.2783 0.2501 0.1389
Ca: 0.2783 0.2499 0.6389
Ca: 0.3987 0.7325 0.9494
Ca: 0.3987 0.7675 0.4494
Ca: 0.6013 0.2325 0.5506
Ca: 0.6013 0.2675 0.0506
Ca: 0.7217 0.7501 0.3611
Ca: 0.7217 0.7499 0.8611
Ca: 0.9835 0.5230 0.2415
Ca: 0.9835 0.9770 0.7415
Tl: 0.1597 0.7504 0.0800
Tl: 0.1597 0.7496 0.5800
Tl: 0.8403 0.2504 0.4200
Tl: 0.8403 0.2496 0.9200
H: 0.3187 0.1153 0.4103
H: 0.3187 0.3847 0.9103
H: 0.6813 0.6153 0.0897
H: 0.6813 0.8847 0.5897



The calculation returns the following magnetic moment values, one per record and in order: 0.98; 0.00; 0.00; 0.00; 0.00; 0.00; 0.00; 0.34; 0.00; 0.00; 3.58; 1.69; 2.77; 2.65; 4.64; 0.00; 0.00; 0.00; 0.00 μB per formula unit.